[1]
DFT (PBE) results for a relaxed LiPrTh crystal.

Calculated values
ΔH_f (0 K) = 0.4 eV per formula unit
Calculated total energy = -0.1676 Ha/atom
V = 92.53 Å³ per cell
Energy above the lowest structure with this stoichiometry = 103 meV per atom

```
data_LiPrTh
_chemical_formula_sum 'Li1 Pr1 Th1'
_cell_length_a 3.5323
_cell_length_b 3.5323
_cell_length_c 8.5628
_cell_angle_alpha 90.00
_cell_angle_beta 90.00
_cell_angle_gamma 120.00
_symmetry_space_group_name_H-M 'P 1'
_symmetry_Int_Tables_number 1
_symmetry_space_group_name_Hall 'P 1'
loop_
_atom_site_label
_atom_site_type_symbol
_atom_site_fract_x
_atom_site_fract_y
_atom_site_fract_z
Pr1 Pr 0.3333 0.6667 0.6702
Th1 Th 0.6667 0.3333 0.3266
Li1 Li 0.0000 0.0000 0.0032
```

---

[2]
DFT (PBE) results for a relaxed LiPrThTl crystal.

Calculated values
ΔH_f (0 K) = -0.2 eV per formula unit
Calculated total energy = -0.1529 Ha/atom
V = 114.11 Å³ per cell

```
data_LiPrThTl
_chemical_formula_sum 'Li1 Pr1 Th1 Tl1'
_cell_length_a 5.4444
_cell_length_b 5.4444
_cell_length_c 5.4444
_cell_angle_alpha 60.00
_cell_angle_beta 60.00
_cell_angle_gamma 60.00
_symmetry_space_group_name_H-M 'P 1'
_symmetry_Int_Tables_number 1
_symmetry_space_group_name_Hall 'P 1'
loop_
_atom_site_label
_atom_site_type_symbol
_atom_site_fract_x
_atom_site_fract_y
_atom_site_fract_z
Pr1 Pr 0.2500 0.2500 0.2500
Tl1 Tl 0.5000 0.5000 0.5000
Th1 Th 0.7500 0.7500 0.7500
Li1 Li 0.0000 0.0000 0.0000
```

---

[3]
DFT (PBE) results for a relaxed Li4PrTl4 crystal.

Calculated values
ΔH_f (0 K) = -1.7 eV per formula unit
Calculated total energy = -0.0963 Ha/atom
V = 418.64 Å³ per cell

```
data_Li4PrTl4
_chemical_formula_sum 'Li8 Pr2 Tl8'
_cell_length_a 6.4869
_cell_length_b 6.4869
_cell_length_c 9.9486
_cell_angle_alpha 90.00
_cell_angle_beta 90.00
_cell_angle_gamma 90.00
_symmetry_space_group_name_H-M 'P 1'
_symmetry_Int_Tables_number 1
_symmetry_space_group_name_Hall 'P 1'
loop_
_atom_site_label
_atom_site_type_symbol
_atom_site_fract_x
_atom_site_fract_y
_atom_site_fract_z
Li1 Li 0.2171 0.5000 0.9245
Li2 Li 0.7829 0.5000 0.9245
Li3 Li 0.5000 0.7829 0.0755
Li4 Li 0.5000 0.2171 0.0755
Li5 Li 0.0000 0.7171 0.4245
Li6 Li 0.0000 0.2829 0.4245
Li7 Li 0.2829 0.0000 0.5755
Li8 Li 0.7171 0.0000 0.5755
Pr1 Pr 0.0000 0.0000 0.0000
Pr2 Pr 0.5000 0.5000 0.5000
Tl1 Tl 0.5000 0.7656 0.7886
Tl2 Tl 0.5000 0.2344 0.7886
Tl3 Tl 0.7656 0.5000 0.2114
Tl4 Tl 0.2344 0.5000 0.2114
Tl5 Tl 0.2656 0.0000 0.2886
Tl6 Tl 0.7344 0.0000 0.2886
Tl7 Tl 0.0000 0.2656 0.7114
Tl8 Tl 0.0000 0.7344 0.7114
```

---

[4]
DFT (PBE) results for a relaxed LiPrTl5 crystal.

Calculated values
ΔH_f (0 K) = -1.0 eV per formula unit
Calculated total energy = -0.1026 Ha/atom
V = 191.90 Å³ per cell
Energy above the lowest structure with this stoichiometry = 65 meV per atom

```
data_LiPrTl5
_chemical_formula_sum 'Li1 Pr1 Tl5'
_cell_length_a 4.7842
_cell_length_b 4.7841
_cell_length_c 8.3842
_cell_angle_alpha 90.00
_cell_angle_beta 90.00
_cell_angle_gamma 90.00
_symmetry_space_group_name_H-M 'P 1'
_symmetry_Int_Tables_number 1
_symmetry_space_group_name_Hall 'P 1'
loop_
_atom_site_label
_atom_site_type_symbol
_atom_site_fract_x
_atom_site_fract_y
_atom_site_fract_z
Li1 Li 0.5000 0.5000 0.0000
Pr1 Pr 0.0000 0.0000 0.5000
Tl1 Tl 0.0000 0.5000 0.8034
Tl2 Tl 0.0000 0.5000 0.1966
Tl3 Tl 0.5000 0.0000 0.8034
Tl4 Tl 0.5000 0.0000 0.1966
Tl5 Tl 0.5000 0.5000 0.5000
```

---

[5]
DFT (PBE) results for a relaxed Li3Pr4Tl4 crystal.

Calculated values
ΔH_f (0 K) = -1.3 eV per formula unit
Calculated total energy = -0.1191 Ha/atom
V = 315.61 Å³ per cell

```
data_Li3Pr4Tl4
_chemical_formula_sum 'Li3 Pr4 Tl4'
_cell_length_a 3.4469
_cell_length_b 9.7666
_cell_length_c 10.7103
_cell_angle_alpha 117.13
_cell_angle_beta 99.26
_cell_angle_gamma 90.00
_symmetry_space_group_name_H-M 'P 1'
_symmetry_Int_Tables_number 1
_symmetry_space_group_name_Hall 'P 1'
loop_
_atom_site_label
_atom_site_type_symbol
_atom_site_fract_x
_atom_site_fract_y
_atom_site_fract_z
Li1 Li 0.0903 0.0903 0.1805
Li2 Li 0.9097 0.9097 0.8195
Li3 Li 0.0000 0.5000 0.0000
Pr1 Pr 0.3362 0.1579 0.6723
Pr2 Pr 0.6638 0.4856 0.3277
Pr3 Pr 0.6638 0.8421 0.3277
Pr4 Pr 0.3362 0.5144 0.6723
Tl1 Tl 0.2832 0.7832 0.5664
Tl2 Tl 0.7168 0.2168 0.4336
Tl3 Tl 0.5000 0.8007 0.0000
Tl4 Tl 0.5000 0.1993 0.0000
```

---

[6]
DFT (PBE) results for a relaxed LiPr7Tl4 crystal.

Calculated values
ΔH_f (0 K) = -0.9 eV per formula unit
Calculated total energy = -0.1400 Ha/atom
V = 401.48 Å³ per cell

```
data_LiPr7Tl4
_chemical_formula_sum 'Li1 Pr7 Tl4'
_cell_length_a 5.7896
_cell_length_b 9.7411
_cell_length_c 8.0079
_cell_angle_alpha 81.06
_cell_angle_beta 68.81
_cell_angle_gamma 72.71
_symmetry_space_group_name_H-M 'P 1'
_symmetry_Int_Tables_number 1
_symmetry_space_group_name_Hall 'P 1'
loop_
_atom_site_label
_atom_site_type_symbol
_atom_site_fract_x
_atom_site_fract_y
_atom_site_fract_z
Li1 Li 0.0000 0.0000 0.0000
Pr1 Pr 0.7788 0.8725 0.5699
Pr2 Pr 0.2212 0.1275 0.4301
Pr3 Pr 0.0668 0.6698 0.1967
Pr4 Pr 0.9332 0.3302 0.8033
Pr5 Pr 0.3357 0.5985 0.7302
Pr6 Pr 0.5000 0.0000 0.0000
Pr7 Pr 0.6643 0.4015 0.2698
Tl1 Tl 0.5666 0.2232 0.6436
Tl2 Tl 0.4334 0.7768 0.3564
Tl3 Tl 0.6991 0.6625 0.9394
Tl4 Tl 0.3009 0.3375 0.0606
```